Density functional theory data (PBE-GGA) for crystalline Sc2NbSi2Ru5 at its relaxed geometry.

Structure (CIF):
```
data_Sc2NbSi2Ru5
_chemical_formula_sum 'Sc4 Nb2 Si4 Ru10'
_cell_length_a 9.858
_cell_length_b 9.858
_cell_length_c 3.201
_cell_angle_alpha 90.00
_cell_angle_beta 90.00
_cell_angle_gamma 90.00
_symmetry_space_group_name_H-M 'P 1'
_symmetry_Int_Tables_number 1
loop_
_symmetry_equiv_pos_as_xyz
'x,y,z'
loop_
_atom_site_label
_atom_site_fract_x
_atom_site_fract_y
_atom_site_fract_z
Sc1 0.172 0.328 0.000
Sc2 0.328 0.828 0.000
Sc3 0.672 0.172 0.000
Sc4 0.828 0.672 0.000
Nb1 0.000 0.000 0.000
Nb2 0.500 0.500 0.000
Si1 0.127 0.627 0.000
Si2 0.373 0.127 0.000
Si3 0.627 0.873 0.000
Si4 0.873 0.373 0.000
Ru1 0.000 0.500 0.500
Ru2 0.069 0.793 0.500
Ru3 0.207 0.069 0.500
Ru4 0.293 0.569 0.500
Ru5 0.431 0.293 0.500
Ru6 0.500 0.000 0.500
Ru7 0.569 0.707 0.500
Ru8 0.707 0.431 0.500
Ru9 0.793 0.931 0.500
Ru10 0.931 0.207 0.500
```

Size of the total moment, μB per formula unit: 0.000
Space-group type: P4/mbm (127)
ΔE_f (raw), eV per atom: -0.676